Pr6Dy16Tm7 | PBE | optimized geometry

* density of states at the Fermi level: 51.5 states/eV/f.u.
* energy relative to the elements: 6.69 eV per formula unit

```
Pr6Dy16Tm7
1.0
9.6614 0.0000 5.5780
3.2205 9.1089 5.5780
0.0000 0.0000 11.1560
Tm Dy Pr
7 16 6
direct
0.5000 0.0000 0.5000
0.0000 0.0000 0.5000
0.5000 0.5000 0.0000
0.0000 0.5000 0.0000
0.0000 0.0000 0.0000
0.5000 0.0000 0.0000
0.0000 0.5000 0.5000
0.6545 0.6545 0.6545
0.3455 0.3455 0.9636
0.3675 0.8775 0.8775
0.0364 0.6545 0.6545
0.1225 0.6325 0.1225
0.8775 0.3675 0.8775
0.3455 0.9636 0.3455
0.1225 0.1225 0.6325
0.8775 0.8775 0.8775
0.8775 0.8775 0.3675
0.1225 0.1225 0.1225
0.9636 0.3455 0.3455
0.6325 0.1225 0.1225
0.6545 0.6545 0.0364
0.6545 0.0364 0.6545
0.3455 0.3455 0.3455
0.7153 0.2847 0.7153
0.7153 0.7153 0.2847
0.2847 0.7153 0.7153
0.2847 0.2847 0.7153
0.7153 0.2847 0.2847
0.2847 0.7153 0.2847
```